1.
A plane-wave DFT calculation with PBE-GGA was carried out for a geometry-optimized Rb2BaPuBr8 structure.

Output
- Formation energy (no corrections): -19.768 eV/f.u.
- Total moment: 4.0 Bohr magnetons per cell

Geometry as POSCAR:
```
Rb2BaPuBr8
1.0
7.2380 0.0000 0.0000
0.0000 9.6807 0.0000
-0.4408 0.0000 7.8340
Rb Ba Pu Br
2 1 1 8
Direct
0.0000 0.2456 0.0000 Rb
0.0000 0.7544 0.0000 Rb
0.5000 0.5000 0.5000 Ba
0.5000 0.0000 0.5000 Pu
0.1461 0.5000 0.2540 Br
0.1747 0.0000 0.3040 Br
0.3693 0.2104 0.7063 Br
0.3693 0.7896 0.7063 Br
0.6307 0.2104 0.2937 Br
0.6307 0.7896 0.2937 Br
0.8253 0.0000 0.6960 Br
0.8539 0.5000 0.7460 Br
```



2.
A plane-wave DFT calculation with PBE-GGA was carried out for a geometry-optimized Pr5SmTm4 structure.

Output
- Calculated formation energy: 0.020 eV/atom
- Total moment: 0.0 Bohr magnetons per cell
- Distance to the lowest polymorph of the same formula: 0 meV per atom

Geometry as POSCAR:
```
Pr5SmTm4
1.0
3.6255 0.0000 0.0000
1.8000 9.3624 0.0000
0.0022 2.9049 9.7976
Pr Sm Tm
5 1 4
Direct
0.0000 0.0000 0.0000 Pr
0.2008 0.5993 0.1007 Pr
0.3986 0.2018 0.6941 Pr
0.6014 0.7982 0.3059 Pr
0.7992 0.4007 0.8993 Pr
0.0000 0.0000 0.5000 Sm
0.1996 0.6009 0.6000 Tm
0.3984 0.2028 0.2044 Tm
0.6016 0.7972 0.7956 Tm
0.8004 0.3991 0.4000 Tm
```



3.
A plane-wave DFT calculation with PBE-GGA was carried out for a geometry-optimized Rb2Tl5In5 structure.

Output
- Calculated formation energy: -0.025 eV/atom
- Total moment: 0.0 Bohr magnetons per cell

Geometry as POSCAR:
```
Rb2Tl5In5
1.0
5.5195 0.0000 0.0000
0.0000 6.4420 0.0000
0.0000 0.0000 11.4334
Rb Tl In
2 5 5
Direct
0.0000 0.0000 0.0000 Rb
0.0000 0.5000 0.5000 Rb
0.0000 0.0000 0.3279 Tl
0.0000 0.0000 0.6721 Tl
0.0000 0.5000 0.1671 Tl
0.0000 0.5000 0.8329 Tl
0.5000 0.0000 0.5000 Tl
0.5000 0.2478 0.2407 In
0.5000 0.2478 0.7593 In
0.5000 0.5000 0.0000 In
0.5000 0.7522 0.2407 In
0.5000 0.7522 0.7593 In
```



4.
A plane-wave DFT calculation with PBE-GGA was carried out for a geometry-optimized CsK2BaSn structure.

Output
- Calculated formation energy: -0.063 eV/atom
- Total moment: 0.0 Bohr magnetons per cell

Geometry as POSCAR:
```
CsK2BaSn
1.0
7.1417 0.0000 0.0000
0.0000 7.1417 0.0000
0.0000 0.0000 6.7490
Cs K Ba Sn
1 2 1 1
Direct
0.0000 0.0000 0.0000 Cs
0.0000 0.5000 0.5000 K
0.5000 0.0000 0.5000 K
0.5000 0.5000 0.0000 Ba
0.5000 0.5000 0.5000 Sn
```



5.
A plane-wave DFT calculation with PBE-GGA was carried out for a geometry-optimized ThBIr2Ru structure.

Output
- Calculated formation energy: -0.650 eV/atom
- Total moment: 0.0 Bohr magnetons per cell

Geometry as POSCAR:
```
ThBIr2Ru
1.0
4.2699 0.0000 0.0000
0.0000 4.2699 0.0000
0.0000 0.0000 4.3482
Th B Ir Ru
1 1 2 1
Direct
0.0000 0.0000 0.0000 Th
0.5000 0.5000 0.5000 B
0.0000 0.5000 0.5000 Ir
0.5000 0.0000 0.5000 Ir
0.5000 0.5000 0.0000 Ru
```



6.
A plane-wave DFT calculation with PBE-GGA was carried out for a geometry-optimized CaTl2Ag2I6 structure.

Output
- Formation energy (no corrections): -7.843 eV/f.u.
- Total moment: 0.0 Bohr magnetons per cell

Geometry as POSCAR:
```
CaTl2Ag2I6
1.0
7.4755 -4.3283 0.0000
7.4755 4.3283 0.0000
-4.2101 0.0000 7.2005
Ca Tl Ag I
1 2 2 6
Direct
0.0000 0.0000 0.0000 Ca
0.2429 0.2429 0.6804 Tl
0.7571 0.7571 0.3196 Tl
0.4429 0.4429 0.2884 Ag
0.5571 0.5571 0.7116 Ag
0.1782 0.6832 0.6804 I
0.2297 0.2297 0.0843 I
0.3168 0.8218 0.3196 I
0.6832 0.1782 0.6804 I
0.7703 0.7703 0.9157 I
0.8218 0.3168 0.3196 I
```